Compound: MgSbO2
Source: the Alexandria database
Functional: GGA-PBEsol
Structure: relaxed

Lattice parameters (Å, degrees): 3.1434 3.1434 6.4672 75.93 75.93 60.00
Last column: nearest neighbours and their distance in Å.
Sites, in units of the cell vectors:
Sb: 0.0000 0.0000 0.0000  2 O 2.04
Mg: 0.5000 0.5000 0.5000  6 O 2.10
O: 0.8904 0.8904 0.3288  1 Sb 2.04, 3 Mg 2.10
O: 0.1096 0.1096 0.6712  1 Sb 2.04, 3 Mg 2.10

As for the raw formation energy: -1725 meV per atom. Its total energy is -0.43495 Ry/atom. The density of states at the Fermi level comes out at 0.82 states/eV per cell.